{"formula": "LiCr2PtRh", "functional": "GGA-PBEsol", "state": "relaxed", "lattice_angstrom": [[4.8293, 0.0000, 0.0000], [0.0000, 4.7746, 0.0000], [0.0000, 0.0000, 4.7746]], "species": ["Cr", "Cr", "Rh", "Pt", "Li"], "frac_coords": [[0.0000, 0.0000, 0.5000], [0.0000, 0.5000, 0.0000], [0.5000, 0.0000, 0.0000], [0.0000, 0.0000, 0.0000], [0.5000, 0.5000, 0.5000]], "energy_ev_per_cell": -31.44}


{"formula": "LiMnF3", "functional": "GGA-PBEsol", "state": "relaxed", "lattice_angstrom": [[5.3038, 0.0000, 0.0000], [2.6519, 4.5932, 0.0000], [2.6519, 1.5311, 4.7837]], "species": ["Li", "Li", "Mn", "Mn", "F", "F", "F", "F", "F", "F"], "frac_coords": [[0.7500, 0.7500, 0.7500], [0.2500, 0.2500, 0.2500], [0.5000, 0.5000, 0.5000], [0.0000, 0.0000, 0.0000], [0.9046, 0.5954, 0.2500], [0.7500, 0.0954, 0.7500], [0.4046, 0.7500, 0.7500], [0.5954, 0.2500, 0.2500], [0.2500, 0.9046, 0.2500], [0.0954, 0.4046, 0.7500]], "e_form_raw_ev_per_atom": -2.498, "polymorph_energy_ev_per_atom": 0.0206}


{"formula": "Tl2HgSb", "functional": "GGA-PBEsol", "state": "relaxed", "lattice_angstrom": [[3.6182, 0.0000, 0.0000], [0.0000, 3.6182, 0.0000], [0.0000, 0.0000, 8.2585]], "species": ["Sb", "Tl", "Tl", "Hg"], "frac_coords": [[0.5000, 0.5000, 0.7307], [0.0000, 0.0000, 0.9866], [0.5000, 0.5000, 0.2766], [0.0000, 0.0000, 0.5061]], "e_form_raw_ev_per_atom": 0.038, "polymorph_energy_ev_per_atom": 0.0418}


{"formula": "HfCrRePt2", "functional": "GGA-PBEsol", "state": "relaxed", "lattice_angstrom": [[4.8192, 0.0000, 0.0000], [0.0000, 4.8192, 0.0000], [0.0000, 0.0000, 4.7960]], "species": ["Re", "Hf", "Pt", "Pt", "Cr"], "frac_coords": [[0.0000, 0.0000, 0.0000], [0.0000, 0.0000, 0.5000], [0.0000, 0.5000, 0.0000], [0.5000, 0.0000, 0.0000], [0.5000, 0.5000, 0.5000]], "energy_ev_per_cell": -41.58}


{"formula": "HgTe3Rh", "functional": "GGA-PBEsol", "state": "relaxed", "lattice_angstrom": [[5.1768, 0.0000, 0.0000], [0.0000, 5.1768, 0.0000], [0.0000, 0.0000, 5.1768]], "species": ["Te", "Te", "Te", "Rh", "Hg"], "frac_coords": [[0.0000, 0.5000, 0.0000], [0.0000, 0.0000, 0.5000], [0.5000, 0.0000, 0.0000], [0.0000, 0.0000, 0.0000], [0.5000, 0.5000, 0.5000]], "e_form_raw_ev_per_atom": 0.334}


{"formula": "CdSi2Rh", "functional": "GGA-PBEsol", "state": "relaxed", "lattice_angstrom": [[-2.1363, 2.4277, 5.1512], [-4.0843, -1.9452, -4.3678], [-3.2342, -5.0456, 1.0367]], "species": ["Si", "Si", "Si", "Si", "Rh", "Rh", "Cd", "Cd"], "frac_coords": [[0.5747, 0.7500, 0.3750], [0.1753, 0.7500, 0.8750], [0.8750, 0.2500, 0.5747], [0.3750, 0.2500, 0.1753], [0.2500, 0.5000, 0.2500], [0.5000, 0.0000, 0.5000], [0.7500, 0.5000, 0.7500], [0.0000, 0.0000, 0.0000]], "e_form_raw_ev_per_atom": 0.261}


{"formula": "RhPbSe", "functional": "GGA-PBEsol", "state": "relaxed", "lattice_angstrom": [[-3.8851, 2.2072, -0.2178], [-3.3354, -1.5864, -2.5243], [-3.6539, -1.7068, 1.9364]], "species": ["Pb", "Rh", "Se"], "frac_coords": [[0.5000, 0.5000, 0.5000], [0.2500, 0.2500, 0.2500], [0.0000, 0.0000, 0.0000]], "e_form_raw_ev_per_atom": -0.116}


{"formula": "CrRhCl2", "functional": "GGA-PBEsol", "state": "relaxed", "lattice_angstrom": [[3.1114, 0.0000, 0.0000], [0.0000, 3.1114, 0.0000], [0.0000, 0.0000, 6.2721]], "species": ["Cr", "Rh", "Cl", "Cl"], "frac_coords": [[0.5000, 0.5000, 0.0000], [0.5000, 0.5000, 0.5000], [0.0000, 0.0000, 0.7598], [0.0000, 0.0000, 0.2402]], "e_form_raw_ev_per_atom": 0.367, "polymorph_energy_ev_per_atom": 0.5305}


Magnetization for every record listed, in sequence, given in μB/f.u.: 6.75, 5.00, 0.00, 4.60, 0.00, 0.00, 0.00, 2.99.